[1]
Material: Na2BiRhO6
Method: DFT, PBE
State: relaxed

Output
* uncorrected formation energy: -84.9 kJ/mol of atoms

CIF file:
```
data_Na2BiRhO6
_chemical_formula_sum 'Na2 Bi1 Rh1 O6'
_symmetry_space_group_name_H-M 'P 4 m m'
_symmetry_Int_Tables_number 99
_symmetry_space_group_name_Hall 'P 4 -2'
_cell_length_a 5.734
_cell_length_b 5.734
_cell_length_c 4.413
_cell_angle_alpha 90.00
_cell_angle_beta 90.00
_cell_angle_gamma 90.00
loop_
_atom_site_label
_atom_site_fract_x
_atom_site_fract_y
_atom_site_fract_z
Na1 0.000 0.500 0.000
Bi1 0.000 0.000 0.592
Rh1 0.500 0.500 0.579
O1 0.000 0.000 0.107
O2 0.268 0.268 0.682
O3 0.500 0.500 0.173
```

[2]
Material: Na3BiRh2O6
Method: DFT, PBE
State: relaxed

Output
* uncorrected formation energy: -107.6 kJ/mol of atoms

CIF file:
```
data_Na3BiRh2O6
_chemical_formula_sum 'Na6 Bi2 Rh4 O12'
_symmetry_space_group_name_H-M 'C 1 2/m 1'
_symmetry_Int_Tables_number 12
_symmetry_space_group_name_Hall '-C 2y'
_cell_length_a 5.621
_cell_length_b 9.754
_cell_length_c 5.815
_cell_angle_alpha 90.00
_cell_angle_beta 108.79
_cell_angle_gamma 90.00
loop_
_atom_site_label
_atom_site_fract_x
_atom_site_fract_y
_atom_site_fract_z
Na1 0.000 0.000 0.000
Na2 0.000 0.329 0.000
Bi1 0.000 0.500 0.500
Rh1 0.000 0.167 0.500
O1 0.209 0.000 0.716
O2 0.248 0.182 0.288
```

[3]
Material: Na2BiRhO4
Method: DFT, PBE
State: relaxed

Output
* uncorrected formation energy: -108.7 kJ/mol of atoms

CIF file:
```
data_Na2BiRhO4
_chemical_formula_sum 'Na2 Bi1 Rh1 O4'
_symmetry_space_group_name_H-M 'P 1 2/m 1'
_symmetry_Int_Tables_number 10
_symmetry_space_group_name_Hall '-P 2y'
_cell_length_a 5.663
_cell_length_b 3.356
_cell_length_c 5.917
_cell_angle_alpha 90.00
_cell_angle_beta 109.05
_cell_angle_gamma 90.00
loop_
_atom_site_label
_atom_site_fract_x
_atom_site_fract_y
_atom_site_fract_z
Na1 0.000 0.000 0.000
Na2 0.500 0.500 0.000
Bi1 0.000 0.500 0.500
Rh1 0.500 0.000 0.500
O1 0.269 0.000 0.731
O2 0.299 0.500 0.295
```

[4]
Material: Na2BiRuO4
Method: DFT, PBE
State: relaxed

Output
* uncorrected formation energy: -106.7 kJ/mol of atoms

CIF file:
```
data_Na2BiRuO4
_chemical_formula_sum 'Na4 Bi2 Ru2 O8'
_symmetry_space_group_name_H-M 'I -4'
_symmetry_Int_Tables_number 82
_symmetry_space_group_name_Hall 'I -4'
_cell_length_a 5.951
_cell_length_b 5.951
_cell_length_c 6.662
_cell_angle_alpha 90.00
_cell_angle_beta 90.00
_cell_angle_gamma 90.00
loop_
_atom_site_label
_atom_site_fract_x
_atom_site_fract_y
_atom_site_fract_z
Na1 0.000 0.000 0.000
Na2 0.000 0.500 0.250
Bi1 0.000 0.500 0.750
Ru1 0.000 0.000 0.500
O1 0.183 0.274 0.514
```

[5]
Material: Na2BiRuO6
Method: DFT, PBE
State: relaxed

Output
* uncorrected formation energy: -105.8 kJ/mol of atoms

CIF file:
```
data_Na2BiRuO6
_chemical_formula_sum 'Na2 Bi1 Ru1 O6'
_symmetry_space_group_name_H-M 'P 4 m m'
_symmetry_Int_Tables_number 99
_symmetry_space_group_name_Hall 'P 4 -2'
_cell_length_a 5.678
_cell_length_b 5.678
_cell_length_c 4.844
_cell_angle_alpha 90.00
_cell_angle_beta 90.00
_cell_angle_gamma 90.00
loop_
_atom_site_label
_atom_site_fract_x
_atom_site_fract_y
_atom_site_fract_z
Na1 0.000 0.500 0.000
Bi1 0.000 0.000 0.593
Ru1 0.500 0.500 0.594
O1 0.000 0.000 0.165
O2 0.277 0.277 0.712
O3 0.500 0.500 0.235
```

[6]
Material: NaBi2RuO6
Method: DFT, PBE
State: relaxed

Output
* uncorrected formation energy: -114.6 kJ/mol of atoms

CIF file:
```
data_NaBi2RuO6
_chemical_formula_sum 'Na3 Bi6 Ru3 O18'
_symmetry_space_group_name_H-M 'R 3'
_symmetry_Int_Tables_number 146
_symmetry_space_group_name_Hall 'R 3'
_cell_length_a 5.7844
_cell_length_b 5.7844
_cell_length_c 14.7725
_cell_angle_alpha 90.00
_cell_angle_beta 90.00
_cell_angle_gamma 120.00
loop_
_atom_site_label
_atom_site_fract_x
_atom_site_fract_y
_atom_site_fract_z
Na1 0.0000 0.0000 0.0000
Bi1 0.0000 0.0000 0.2763
Bi2 0.0000 0.0000 0.7810
Ru1 0.0000 0.0000 0.4839
O1 0.0132 0.4062 0.2189
O2 0.0791 0.6878 0.0622
```